(1)
# Ac3SnHg5 (PBE, optimized geometry)
data_Ac3SnHg5
_symmetry_space_group_name_H-M 'P 1'
_symmetry_Int_Tables_number 1
_cell_length_a 6.8360
_cell_length_b 9.6242
_cell_length_c 9.6253
_cell_angle_alpha 120.00
_cell_angle_beta 90.00
_cell_angle_gamma 90.00
loop_
_symmetry_equiv_pos_as_xyz
'x,y,z'
loop_
_atom_site_label
_atom_site_fract_x
_atom_site_fract_y
_atom_site_fract_z
Ac1 0.7500 0.3281 0.3280
Ac2 0.7500 0.0000 0.6720
Ac3 0.7500 0.6720 0.0000
Ac4 0.2500 0.6719 0.6720
Ac5 0.2500 0.0000 0.3280
Ac6 0.2500 0.3280 0.0000
Sn1 0.0000 0.0000 0.0000
Sn2 0.5000 0.0000 0.0000
Hg1 0.0000 0.6667 0.3333
Hg2 0.5000 0.3333 0.6667
Hg3 0.0000 0.3333 0.6667
Hg4 0.5000 0.6667 0.3333
Hg5 0.7500 0.6591 0.6591
Hg6 0.7500 0.0000 0.3409
Hg7 0.7500 0.3408 0.0000
Hg8 0.2500 0.3409 0.3409
Hg9 0.2500 0.0000 0.6591
Hg10 0.2500 0.6592 0.0000
# Space group: P6_3/mcm (193)
# D(E_F): 0.666 states/eV/atom
# Calculated formation energy: -0.4832 eV per atom
# Size of the total moment: 0.000 μB/cell

(2)
# Ac3Sn2Hg7 (PBE, optimized geometry)
data_Ac3Sn2Hg7
_symmetry_space_group_name_H-M 'P 1'
_symmetry_Int_Tables_number 1
_cell_length_a 4.6744
_cell_length_b 4.9671
_cell_length_c 15.6331
_cell_angle_alpha 99.59
_cell_angle_beta 90.00
_cell_angle_gamma 90.00
loop_
_symmetry_equiv_pos_as_xyz
'x,y,z'
loop_
_atom_site_label
_atom_site_fract_x
_atom_site_fract_y
_atom_site_fract_z
Ac1 0.5000 0.5000 0.0000
Ac2 0.0000 0.1820 0.3592
Ac3 0.0000 0.8180 0.6408
Sn1 0.5000 0.6395 0.2764
Sn2 0.5000 0.3605 0.7236
Hg1 0.5000 0.7290 0.4597
Hg2 0.5000 0.2710 0.5403
Hg3 0.0000 0.5808 0.1556
Hg4 0.0000 0.0000 0.0000
Hg5 0.0000 0.4192 0.8444
Hg6 0.5000 0.9214 0.8456
Hg7 0.5000 0.0786 0.1544
# Space group: P2/m (10)
# D(E_F): 0.657 states/eV/atom
# Calculated formation energy: -0.3754 eV per atom
# Size of the total moment: 0.000 μB/cell

(3)
# Ac6Sn3Hg (PBE, optimized geometry)
data_Ac6Sn3Hg
_symmetry_space_group_name_H-M 'P 1'
_symmetry_Int_Tables_number 1
_cell_length_a 7.9198
_cell_length_b 9.2258
_cell_length_c 11.0741
_cell_angle_alpha 90.00
_cell_angle_beta 92.18
_cell_angle_gamma 90.00
loop_
_symmetry_equiv_pos_as_xyz
'x,y,z'
loop_
_atom_site_label
_atom_site_fract_x
_atom_site_fract_y
_atom_site_fract_z
Ac1 0.6534 0.1789 0.9348
Ac2 0.6558 0.1755 0.5664
Ac3 0.7012 0.4153 0.2522
Ac4 0.2988 0.5847 0.7478
Ac5 0.3442 0.8245 0.4336
Ac6 0.3466 0.8211 0.0652
Ac7 0.1534 0.3211 0.4348
Ac8 0.1558 0.3245 0.0664
Ac9 0.2012 0.0847 0.7522
Ac10 0.7988 0.9153 0.2478
Ac11 0.8442 0.6755 0.9336
Ac12 0.8466 0.6789 0.5652
Sn1 0.5600 0.8809 0.7462
Sn2 0.5000 0.5000 0.0000
Sn3 0.4400 0.1191 0.2538
Sn4 0.0600 0.6191 0.2462
Sn5 0.0000 0.0000 0.5000
Sn6 0.9400 0.3809 0.7538
Hg1 0.5000 0.5000 0.5000
Hg2 0.0000 0.0000 0.0000
# Space group: P2_1/c (14)
# D(E_F): 0.954 states/eV/atom
# Calculated formation energy: -0.4308 eV per atom
# Size of the total moment: 0.001 μB/cell

(4)
# AcSn2Hg6 (PBE, optimized geometry)
data_AcSn2Hg6
_symmetry_space_group_name_H-M 'P 1'
_symmetry_Int_Tables_number 1
_cell_length_a 3.6662
_cell_length_b 8.8327
_cell_length_c 8.8327
_cell_angle_alpha 64.42
_cell_angle_beta 78.45
_cell_angle_gamma 78.45
loop_
_symmetry_equiv_pos_as_xyz
'x,y,z'
loop_
_atom_site_label
_atom_site_fract_x
_atom_site_fract_y
_atom_site_fract_z
Ac1 0.0000 0.0000 0.0000
Sn1 0.1325 0.3650 0.3650
Sn2 0.8675 0.6350 0.6350
Hg1 0.3195 0.0134 0.3496
Hg2 0.6805 0.9866 0.6504
Hg3 0.6805 0.6504 0.9866
Hg4 0.5000 0.3189 0.6811
Hg5 0.5000 0.6811 0.3189
Hg6 0.3195 0.3496 0.0134
# Space group: C2/m (12)
# D(E_F): 0.393 states/eV/atom
# Calculated formation energy: -0.0997 eV per atom
# Size of the total moment: 0.000 μB/cell

(5)
# Ac3Sn7Hg2 (PBE, optimized geometry)
data_Ac3Sn7Hg2
_symmetry_space_group_name_H-M 'P 1'
_symmetry_Int_Tables_number 1
_cell_length_a 6.3098
_cell_length_b 6.3098
_cell_length_c 11.1730
_cell_angle_alpha 73.60
_cell_angle_beta 73.60
_cell_angle_gamma 60.00
loop_
_symmetry_equiv_pos_as_xyz
'x,y,z'
loop_
_atom_site_label
_atom_site_fract_x
_atom_site_fract_y
_atom_site_fract_z
Ac1 0.0000 0.0000 0.0000
Ac2 0.1381 0.1381 0.5857
Ac3 0.8619 0.8619 0.4143
Sn1 0.5000 0.5000 0.5000
Sn2 0.0806 0.5857 0.7480
Sn3 0.5857 0.5857 0.7480
Sn4 0.5857 0.0806 0.7480
Sn5 0.9194 0.4143 0.2520
Sn6 0.4143 0.9194 0.2520
Sn7 0.4143 0.4143 0.2520
Hg1 0.3337 0.3337 0.9989
Hg2 0.6663 0.6663 0.0011
# Space group: R-3m (166)
# D(E_F): 0.440 states/eV/atom
# Calculated formation energy: -0.3349 eV per atom
# Size of the total moment: 0.000 μB/cell

(6)
# Ac3Sn2Hg5 (PBE, optimized geometry)
data_Ac3Sn2Hg5
_symmetry_space_group_name_H-M 'P 1'
_symmetry_Int_Tables_number 1
_cell_length_a 6.9470
_cell_length_b 10.1585
_cell_length_c 10.1585
_cell_angle_alpha 83.96
_cell_angle_beta 70.01
_cell_angle_gamma 70.01
loop_
_symmetry_equiv_pos_as_xyz
'x,y,z'
loop_
_atom_site_label
_atom_site_fract_x
_atom_site_fract_y
_atom_site_fract_z
Ac1 0.2500 0.0000 0.0000
Ac2 0.7500 0.0000 0.0000
Ac3 0.3769 0.4148 0.8315
Ac4 0.6231 0.5852 0.1685
Ac5 0.8769 0.8315 0.4148
Ac6 0.1231 0.1685 0.5852
Sn1 0.1236 0.7062 0.0467
Sn2 0.8764 0.2938 0.9533
Sn3 0.6236 0.0467 0.7062
Sn4 0.3764 0.9533 0.2938
Hg1 0.2500 0.5000 0.5000
Hg2 0.7500 0.5000 0.5000
Hg3 0.4949 0.7551 0.7551
Hg4 0.0051 0.2449 0.2449
Hg5 0.5051 0.2449 0.2449
Hg6 0.9949 0.7551 0.7551
Hg7 0.1260 0.4975 0.2505
Hg8 0.8740 0.5025 0.7495
Hg9 0.6260 0.2505 0.4975
Hg10 0.3740 0.7495 0.5025
# Space group: Ibam (72)
# D(E_F): 0.469 states/eV/atom
# Calculated formation energy: -0.3162 eV per atom
# Size of the total moment: 0.000 μB/cell

(7)
# AcSn3Hg3 (PBE, optimized geometry)
data_AcSn3Hg3
_symmetry_space_group_name_H-M 'P 1'
_symmetry_Int_Tables_number 1
_cell_length_a 7.8491
_cell_length_b 7.8491
_cell_length_c 7.8491
_cell_angle_alpha 90.00
_cell_angle_beta 90.00
_cell_angle_gamma 90.00
loop_
_symmetry_equiv_pos_as_xyz
'x,y,z'
loop_
_atom_site_label
_atom_site_fract_x
_atom_site_fract_y
_atom_site_fract_z
Ac1 0.5000 0.5000 0.5000
Ac2 0.0000 0.0000 0.0000
Hg1 0.0000 0.2500 0.5000
Hg2 0.0000 0.7500 0.5000
Hg3 0.5000 0.0000 0.7500
Hg4 0.7500 0.5000 0.0000
Hg5 0.5000 0.0000 0.2500
Hg6 0.2500 0.5000 0.0000
Sn1 0.2500 0.0000 0.5000
Sn2 0.0000 0.5000 0.2500
Sn3 0.5000 0.7500 0.0000
Sn4 0.7500 0.0000 0.5000
Sn5 0.0000 0.5000 0.7500
Sn6 0.5000 0.2500 0.0000
# Space group: Pm-3n (223)
# D(E_F): 0.400 states/eV/atom
# Calculated formation energy: 0.1510 eV per atom
# Size of the total moment: 0.000 μB/cell

(8)
# Ac2Sn3Hg3 (PBE, optimized geometry)
data_Ac2Sn3Hg3
_symmetry_space_group_name_H-M 'P 1'
_symmetry_Int_Tables_number 1
_cell_length_a 4.9410
_cell_length_b 4.8977
_cell_length_c 9.6809
_cell_angle_alpha 90.00
_cell_angle_beta 90.00
_cell_angle_gamma 90.00
loop_
_symmetry_equiv_pos_as_xyz
'x,y,z'
loop_
_atom_site_label
_atom_site_fract_x
_atom_site_fract_y
_atom_site_fract_z
Ac1 0.0000 0.0000 0.7500
Ac2 0.0000 0.0000 0.2500
Sn1 0.5000 0.0000 0.5000
Sn2 0.0000 0.5000 0.0000
Sn3 0.0000 0.5000 0.5000
Hg1 0.5000 0.5000 0.7485
Hg2 0.5000 0.5000 0.2515
Hg3 0.5000 0.0000 0.0000
# Space group: Pmmm (47)
# D(E_F): 0.551 states/eV/atom
# Calculated formation energy: -0.4585 eV per atom
# Size of the total moment: 0.000 μB/cell

(9)
# AcSnHg (PBE, optimized geometry)
data_AcSnHg
_symmetry_space_group_name_H-M 'P 1'
_symmetry_Int_Tables_number 1
_cell_length_a 4.6732
_cell_length_b 4.8384
_cell_length_c 4.8384
_cell_angle_alpha 120.00
_cell_angle_beta 90.00
_cell_angle_gamma 90.00
loop_
_symmetry_equiv_pos_as_xyz
'x,y,z'
loop_
_atom_site_label
_atom_site_fract_x
_atom_site_fract_y
_atom_site_fract_z
Ac1 0.6507 0.3333 0.6667
Hg1 0.2530 0.6667 0.3333
Sn1 0.0962 0.0000 0.0000
# Space group: P3m1 (156)
# D(E_F): 0.531 states/eV/atom
# Calculated formation energy: -0.5680 eV per atom
# Size of the total moment: 0.000 μB/cell

(10)
# Ac3Sn2Hg9 (PBE, optimized geometry)
data_Ac3Sn2Hg9
_symmetry_space_group_name_H-M 'P 1'
_symmetry_Int_Tables_number 1
_cell_length_a 4.9835
_cell_length_b 9.3190
_cell_length_c 9.3190
_cell_angle_alpha 71.72
_cell_angle_beta 74.97
_cell_angle_gamma 74.97
loop_
_symmetry_equiv_pos_as_xyz
'x,y,z'
loop_
_atom_site_label
_atom_site_fract_x
_atom_site_fract_y
_atom_site_fract_z
Ac1 0.0000 0.0000 0.0000
Ac2 0.6988 0.3027 0.3027
Ac3 0.3012 0.6973 0.6973
Sn1 0.5000 0.3075 0.6925
Sn2 0.5000 0.6925 0.3075
Hg1 0.0000 0.5000 0.5000
Hg2 0.6600 0.9746 0.7131
Hg3 0.3400 0.0254 0.2869
Hg4 0.6600 0.7131 0.9746
Hg5 0.3400 0.2869 0.0254
Hg6 0.8523 0.8671 0.4232
Hg7 0.1477 0.1329 0.5768
Hg8 0.8523 0.4232 0.8671
Hg9 0.1477 0.5768 0.1329
# Space group: C2/m (12)
# D(E_F): 0.499 states/eV/atom
# Calculated formation energy: -0.3396 eV per atom
# Size of the total moment: 0.000 μB/cell

The highest size of the total moment belongs to which entry?
Ac6Sn3Hg

The highest D(E_F) belongs to which entry?
Ac6Sn3Hg